Entry 1:
# Nd4Y2Sc (PBE-GGA, optimized geometry)
data_Nd4Y2Sc
_chemical_formula_sum 'Nd4 Y2 Sc1'
_symmetry_space_group_name_H-M 'P 1'
_symmetry_Int_Tables_number 1
_symmetry_space_group_name_Hall 'P 1'
_cell_length_a 7.151
_cell_length_b 7.151
_cell_length_c 5.984
_cell_angle_alpha 90.00
_cell_angle_beta 90.00
_cell_angle_gamma 128.89
loop_
_atom_site_label
_atom_site_fract_x
_atom_site_fract_y
_atom_site_fract_z
_atom_site_occupancy
Nd1 0.135 0.865 0.000 1
Nd2 0.311 0.689 0.500 1
Nd3 0.689 0.311 0.500 1
Nd4 0.865 0.135 0.000 1
Y1 0.387 0.613 0.000 1
Y2 0.613 0.387 0.000 1
Sc1 0.000 0.000 0.500 1
# formation enthalpy at 0 K: 3.72 eV per formula unit
# SG: No. 65
# crystal system: orthorhombic

Entry 2:
# Y4AuBr5 (PBE-GGA, optimized geometry)
data_Y4AuBr5
_chemical_formula_sum 'Y4 Au1 Br5'
_symmetry_space_group_name_H-M 'P 1'
_symmetry_Int_Tables_number 1
_symmetry_space_group_name_Hall 'P 1'
_cell_length_a 9.463
_cell_length_b 9.463
_cell_length_c 8.595
_cell_angle_alpha 102.33
_cell_angle_beta 102.33
_cell_angle_gamma 24.68
loop_
_atom_site_label
_atom_site_fract_x
_atom_site_fract_y
_atom_site_fract_z
_atom_site_occupancy
Y1 0.003 0.003 0.229 1
Y2 0.346 0.346 0.919 1
Y3 0.654 0.654 0.081 1
Y4 0.997 0.997 0.771 1
Au1 0.500 0.500 0.000 1
Br1 0.168 0.168 0.332 1
Br2 0.176 0.176 0.840 1
Br3 0.500 0.500 0.500 1
Br4 0.824 0.824 0.160 1
Br5 0.832 0.832 0.668 1
# SG: No. 12
# crystal system: monoclinic
# E: -51.45 eV per cell